Entry 1:
Below is a relaxed InOsRu2 crystal, with properties calculated at the GGA-PBE level.

abc: 5.2510 5.2510 5.2510
angles: 146.54 127.96 63.29
Closest atoms and distances in Å follow each position.
Element x y z (fractional)
In 0.0000 0.0000 0.0000  4 Ru 2.71, 4 Os 2.76, 2 In 3.02
Os 0.5000 0.5000 0.0000  4 Ru 2.69, 4 In 2.76
Ru 0.2517 0.7517 0.5000  2 Os 2.69, 2 In 2.71, 4 Ru 2.76
Ru 0.7483 0.2483 0.5000  2 Os 2.69, 2 In 2.71, 4 Ru 2.76

Results
DOS at the Fermi energy = 4.74 states/eV per cell
spin magnetization = 0.01 Bohr magnetons per cell
volume = 15.56 A^3/atom
energy of formation = 0.50 eV per atom
symmetry = Immm (71)



Entry 2:
Below is a relaxed Sc5In2OsRu2 crystal, with properties calculated at the GGA-PBE level.

abc: 11.0266 11.0266 3.2857
angles: 90.00 90.00 90.00
Closest atoms and distances in Å follow each position.
Element x y z (fractional)
Sc 0.0000 0.5000 0.0000  4 Ru 2.65
Sc 0.0628 0.1940 0.0000  2 Ru 2.63, 2 Os 2.78
Sc 0.1940 0.9372 0.0000  2 Ru 2.63, 2 Os 2.78
Sc 0.3060 0.4372 0.0000  2 Ru 2.63, 2 Os 2.78
Sc 0.4372 0.6940 0.0000  2 Ru 2.63, 2 Os 2.78
Sc 0.5000 0.0000 0.0000  4 Ru 2.65
Sc 0.5628 0.3060 0.0000  2 Ru 2.63, 2 Os 2.78
Sc 0.6940 0.5628 0.0000  2 Ru 2.63, 2 Os 2.78
Sc 0.8060 0.0628 0.0000  2 Ru 2.63, 2 Os 2.78
Sc 0.9372 0.8060 0.0000  2 Ru 2.63, 2 Os 2.78
In 0.1779 0.6779 0.5000  1 Ru 2.95, 2 Sc 3.22, 2 In 3.29
In 0.3221 0.1779 0.5000  1 Ru 2.95, 2 Sc 3.22, 2 In 3.29
In 0.6779 0.8221 0.5000  1 Ru 2.95, 2 Sc 3.22, 2 In 3.29
In 0.8221 0.3221 0.5000  1 Ru 2.95, 2 Sc 3.22, 2 In 3.29
Os 0.0000 0.0000 0.5000  8 Sc 2.78
Os 0.5000 0.5000 0.5000  8 Sc 2.78
Ru 0.1332 0.3668 0.5000  6 Sc 2.63-2.65, 1 In 2.95
Ru 0.3668 0.8668 0.5000  6 Sc 2.63-2.65, 1 In 2.95
Ru 0.6332 0.1332 0.5000  6 Sc 2.63-2.65, 1 In 2.95
Ru 0.8668 0.6332 0.5000  6 Sc 2.63-2.65, 1 In 2.95

Results
DOS at the Fermi energy = 12.84 states/eV per cell
spin magnetization = 0.00 Bohr magnetons per cell
volume = 19.97 A^3/atom
energy of formation = -0.36 eV per atom
symmetry = P4/mbm (127)



Entry 3:
Below is a relaxed Sc5In2Os2Ru crystal, with properties calculated at the GGA-PBE level.

abc: 11.0628 11.0628 3.2999
angles: 90.00 90.00 90.00
Closest atoms and distances in Å follow each position.
Element x y z (fractional)
Sc 0.0000 0.5000 0.0000  4 Os 2.69
Sc 0.0633 0.1932 0.0000  2 Os 2.64, 2 Ru 2.79
Sc 0.1932 0.9367 0.0000  2 Os 2.64, 2 Ru 2.79
Sc 0.3068 0.4367 0.0000  2 Os 2.64, 2 Ru 2.79
Sc 0.4367 0.6932 0.0000  2 Os 2.64, 2 Ru 2.79
Sc 0.5000 0.0000 0.0000  4 Os 2.69
Sc 0.5633 0.3068 0.0000  2 Os 2.64, 2 Ru 2.79
Sc 0.6932 0.5633 0.0000  2 Os 2.64, 2 Ru 2.79
Sc 0.8068 0.0633 0.0000  2 Os 2.64, 2 Ru 2.79
Sc 0.9367 0.8068 0.0000  2 Os 2.64, 2 Ru 2.79
In 0.1770 0.6770 0.5000  1 Os 2.93, 2 Sc 3.22
In 0.3230 0.1770 0.5000  1 Os 2.93, 2 Sc 3.22
In 0.6770 0.8230 0.5000  1 Os 2.93, 2 Sc 3.22
In 0.8230 0.3230 0.5000  1 Os 2.93, 2 Sc 3.22
Os 0.1355 0.3645 0.5000  6 Sc 2.64-2.69, 1 In 2.93
Os 0.3645 0.8645 0.5000  6 Sc 2.64-2.69, 1 In 2.93
Os 0.6355 0.1355 0.5000  6 Sc 2.64-2.69, 1 In 2.93
Os 0.8645 0.6355 0.5000  6 Sc 2.64-2.69, 1 In 2.93
Ru 0.0000 0.0000 0.5000  8 Sc 2.79
Ru 0.5000 0.5000 0.5000  8 Sc 2.79

Results
DOS at the Fermi energy = 13.42 states/eV per cell
spin magnetization = 0.00 Bohr magnetons per cell
volume = 20.19 A^3/atom
energy of formation = -0.29 eV per atom
symmetry = P4/mbm (127)